Pr6Nd8In: relaxed, GGA-PBE.

ρ: 6.6 g cm⁻³
Electronic total energy: -0.1686 hartree per atom
Symmetry: No. 147
ΔH_f (0 K): 0.05 eV per atom

a = 6.7129 Å, b = 9.5465 Å, c = 9.5465 Å
α = 120.00°, β = 90.00°, γ = 90.00°
Sites, in units of the cell vectors:
Pr (0.6692, 0.4434, 0.3523)
Pr (0.6692, 0.9089, 0.5566)
Pr (0.3308, 0.3523, 0.9089)
Pr (0.6692, 0.6477, 0.0911)
Pr (0.3308, 0.0911, 0.4434)
Pr (0.3308, 0.5566, 0.6477)
Nd (0.8194, 0.7326, 0.7732)
Nd (0.8662, 0.3333, 0.6667)
Nd (0.1338, 0.6667, 0.3333)
Nd (0.8194, 0.0406, 0.2674)
Nd (0.1806, 0.9594, 0.7326)
Nd (0.8194, 0.2268, 0.9594)
Nd (0.1806, 0.2674, 0.2268)
Nd (0.1806, 0.7732, 0.0406)
In (0.5000, 0.0000, 0.0000)

---

Mg4ScAg: relaxed, GGA-PBE.

ρ: 3.2 g cm⁻³
Electronic total energy: -0.0991 hartree per atom
Symmetry: No. 123
ΔH_f (0 K): -0.10 eV per atom

a = 3.3553 Å, b = 3.3553 Å, c = 11.4190 Å
α = 90.00°, β = 90.00°, γ = 90.00°
Sites, in units of the cell vectors:
Mg (0.0000, 0.0000, 0.6412)
Mg (0.5000, 0.5000, 0.8170)
Mg (0.5000, 0.5000, 0.1830)
Mg (0.0000, 0.0000, 0.3588)
Ag (0.5000, 0.5000, 0.5000)
Sc (0.0000, 0.0000, 0.0000)

---

CeYI4: relaxed, GGA-PBE.

ρ: 4.9 g cm⁻³
ΔE_f (raw): -1.227 eV per atom
Electronic total energy: -0.1590 hartree per atom
Symmetry: No. 10

a = 4.1933 Å, b = 8.1196 Å, c = 7.3470 Å
α = 92.86°, β = 90.00°, γ = 90.00°
Sites, in units of the cell vectors:
I (0.5000, 0.2510, 0.1931)
I (0.5000, 0.7490, 0.8069)
I (0.0000, 0.2427, 0.6712)
I (0.0000, 0.7573, 0.3288)
Y (0.5000, 0.0000, 0.5000)
Ce (0.0000, 0.0000, 0.0000)

---

ScUTc2: relaxed, GGA-PBE.

ρ: 10.9 g cm⁻³
Electronic total energy: -0.3591 hartree per atom
Symmetry: No. 166
ΔH_f (0 K): -0.18 eV per atom

a = 4.4732 Å, b = 4.4732 Å, c = 4.9468 Å
α = 63.12°, β = 63.12°, γ = 60.00°
Sites, in units of the cell vectors:
Tc (0.7683, 0.7683, 0.6951)
Tc (0.2317, 0.2317, 0.3049)
Sc (0.0000, 0.0000, 0.0000)
U (0.5000, 0.5000, 0.5000)

---

PaTi6: relaxed, GGA-PBE.

ρ: 5.4 g cm⁻³
Electronic total energy: -0.2430 hartree per atom
Symmetry: No. 229
ΔH_f (0 K): 1.51 eV per atom

a = 5.9045 Å, b = 5.9045 Å, c = 5.9045 Å
α = 109.47°, β = 109.47°, γ = 109.47°
Sites, in units of the cell vectors:
Ti (0.7500, 0.5000, 0.2500)
Ti (0.5000, 0.2500, 0.7500)
Ti (0.7500, 0.2500, 0.5000)
Ti (0.5000, 0.7500, 0.2500)
Ti (0.2500, 0.7500, 0.5000)
Ti (0.2500, 0.5000, 0.7500)
Pa (0.0000, 0.0000, 0.0000)

---

SmAgAu: relaxed, GGA-PBE.

ρ: 11.2 g cm⁻³
Electronic total energy: -0.1536 hartree per atom
Symmetry: No. 107
ΔH_f (0 K): -0.56 eV per atom

a = 3.8157 Å, b = 3.8157 Å, c = 5.3684 Å
α = 110.82°, β = 110.82°, γ = 90.00°
Sites, in units of the cell vectors:
Sm (0.9543, 0.9543, 0.9086)
Au (0.6154, 0.6154, 0.2308)
Ag (0.2803, 0.2803, 0.5606)

---

TaTe2Se: relaxed, GGA-PBE.

ρ: 9.1 g cm⁻³
ΔE_f (raw): 0.556 eV per atom
Electronic total energy: -0.1782 hartree per atom
Symmetry: No. 65

a = 5.4883 Å, b = 5.4883 Å, c = 3.5740 Å
α = 90.00°, β = 90.00°, γ = 119.24°
Sites, in units of the cell vectors:
Ta (0.0000, 0.5000, 0.5000)
Te (0.0000, 0.0000, 0.0000)
Te (0.5000, 0.5000, 0.0000)
Se (0.5000, 0.0000, 0.5000)

---

La4TbSm7: relaxed, GGA-PBE.

ρ: 7.0 g cm⁻³
Electronic total energy: -0.1751 hartree per atom
Symmetry: No. 164
ΔH_f (0 K): 0.02 eV per atom

a = 3.6600 Å, b = 3.6600 Å, c = 35.9461 Å
α = 90.00°, β = 90.00°, γ = 120.00°
Sites, in units of the cell vectors:
Sm (0.3333, 0.6667, 0.4192)
Sm (0.3333, 0.6667, 0.1682)
Sm (0.0000, 0.0000, 0.0000)
Sm (0.6667, 0.3333, 0.5808)
Sm (0.6667, 0.3333, 0.8318)
Sm (0.0000, 0.0000, 0.7502)
Sm (0.0000, 0.0000, 0.2498)
La (0.3333, 0.6667, 0.9161)
La (0.6667, 0.3333, 0.0839)
La (0.3333, 0.6667, 0.6657)
La (0.6667, 0.3333, 0.3343)
Tb (0.0000, 0.0000, 0.5000)

---

Tb3Pm4Pr5: relaxed, GGA-PBE.

ρ: 6.9 g cm⁻³
Electronic total energy: -0.1664 hartree per atom
Symmetry: No. 12
ΔH_f (0 K): 0.20 eV per atom

a = 6.0496 Å, b = 8.7888 Å, c = 9.8761 Å
α = 106.23°, β = 72.17°, γ = 69.87°
Sites, in units of the cell vectors:
Tb (0.5186, 0.6896, 0.2733)
Tb (0.4814, 0.3104, 0.7267)
Tb (0.0000, 0.5000, 0.5000)
Pm (0.1616, 0.0554, 0.6214)
Pm (0.8587, 0.2234, 0.0592)
Pm (0.8384, 0.9446, 0.3786)
Pm (0.1413, 0.7766, 0.9408)
Pr (0.5000, 0.5000, 0.5000)
Pr (0.2147, 0.4583, 0.1122)
Pr (0.7853, 0.5417, 0.8878)
Pr (0.3738, 0.0508, 0.2015)
Pr (0.6262, 0.9492, 0.7985)

---

In2Ga2Ni: relaxed, GGA-PBE.

ρ: 7.1 g cm⁻³
Electronic total energy: -0.1250 hartree per atom
Symmetry: No. 127
ΔH_f (0 K): 0.06 eV per atom

a = 6.5049 Å, b = 6.5049 Å, c = 4.7174 Å
α = 90.00°, β = 90.00°, γ = 90.00°
Sites, in units of the cell vectors:
Ni (0.5000, 0.5000, 0.0000)
Ni (0.0000, 0.0000, 0.0000)
Ga (0.6541, 0.1541, 0.0000)
Ga (0.8459, 0.6541, 0.0000)
Ga (0.1541, 0.3459, 0.0000)
Ga (0.3459, 0.8459, 0.0000)
In (0.1724, 0.6724, 0.5000)
In (0.6724, 0.8276, 0.5000)
In (0.3276, 0.1724, 0.5000)
In (0.8276, 0.3276, 0.5000)

---

TaTiN3: relaxed, GGA-PBE.

ρ: 7.1 g cm⁻³
ΔE_f (raw): 0.016 eV per atom
Electronic total energy: -0.3281 hartree per atom
Symmetry: No. 221

a = 3.9817 Å, b = 3.9817 Å, c = 3.9817 Å
α = 90.00°, β = 90.00°, γ = 90.00°
Sites, in units of the cell vectors:
Ti (0.5000, 0.5000, 0.5000)
N (0.0000, 0.0000, 0.5000)
N (0.0000, 0.5000, 0.0000)
N (0.5000, 0.0000, 0.0000)
Ta (0.0000, 0.0000, 0.0000)

---

PrHo5: relaxed, GGA-PBE.

ρ: 8.3 g cm⁻³
Electronic total energy: -0.1689 hartree per atom
Symmetry: No. 8
ΔH_f (0 K): 0.01 eV per atom

a = 3.6323 Å, b = 6.7275 Å, c = 8.4489 Å
α = 102.67°, β = 90.00°, γ = 105.66°
Sites, in units of the cell vectors:
Ho (0.3358, 0.6717, 0.6632)
Ho (0.6661, 0.3322, 0.3347)
Ho (0.0550, 0.1101, 0.6083)
Ho (0.3893, 0.7786, 0.2816)
Ho (0.9991, 0.9983, 0.0042)
Pr (0.7213, 0.4425, 0.9414)